(1)
A plane-wave DFT calculation with PBE was carried out for a geometry-optimized ReNiBr2 structure.

Cell: 3.208 3.293 8.335 Å, 90.00 100.96 90.00°
Space group Pm (No. 6)
Symmetry-distinct sites (fractional):
Re  0.000  0.000  0.000 (multiplicity 1)
Ni  0.570  0.500  0.142 (multiplicity 1)
Br  0.156  0.000  0.315 (multiplicity 1)
Br  0.886  0.500  0.769 (multiplicity 1)

Values from the calculation:
Raw total energy   -5.063 eV/atom
Formation energy without anion corrections   0.33 eV/atom
Crystal system   monoclinic

---

(2)
A plane-wave DFT calculation with PBE was carried out for a geometry-optimized CoPOs2 structure.

Cell: 2.779 4.696 8.153 Å, 90.00 90.00 90.00°
Space group Cmm2 (No. 35)
Symmetry-distinct sites (fractional):
Co  0.000  0.000  0.000 (multiplicity 2)
P  0.000  0.500  0.794 (multiplicity 2)
Os  0.000  0.000  0.559 (multiplicity 2)
Os  0.000  0.500  0.269 (multiplicity 2)

Values from the calculation:
Raw total energy   -8.275 eV/atom
Crystal system   orthorhombic

---

(3)
A plane-wave DFT calculation with PBE was carried out for a geometry-optimized PuNpSe2 structure.

Cell: 7.133 7.133 7.133 Å, 90.00 90.00 90.00°
Space group Fm-3m (No. 225)
Symmetry-distinct sites (fractional):
Pu  0.000  0.000  0.000 (multiplicity 4)
Np  0.000  0.000  0.500 (multiplicity 4)
Se  0.250  0.250  0.250 (multiplicity 8)

Values from the calculation:
Raw total energy   -9.672 eV/atom
Formation energy without anion corrections   -1.11 eV/atom
Crystal system   cubic

---

> What is the raw total energy in the first record?

-5.063 eV/atom

---

> Among the records above, which one has the lowest raw total energy?

PuNpSe2